Here is Tm3Ge13Ir4 after structural relaxation from the Alexandria database. Energies are from PBEsol.

Crystal system: cubic
Fermi-level density of states, states/eV/cell: 13.5
Raw total energy, eV/atom: -6.464
Total magnetization, μB/f.u.: 0.00
DFT formation energy, eV/atom: -0.5539

CIF file:
```
data_Tm3Ge13Ir4
_symmetry_space_group_name_H-M 'P m -3 n'
_symmetry_Int_Tables_number 223
_symmetry_space_group_name_Hall '-P 4n 2 3'
_cell_length_a 8.8867
_cell_length_b 8.8867
_cell_length_c 8.8867
_cell_angle_alpha 90.00
_cell_angle_beta 90.00
_cell_angle_gamma 90.00
loop_
_atom_site_label
_atom_site_fract_x
_atom_site_fract_y
_atom_site_fract_z
Tm1 0.0000 0.2500 0.5000
Ge1 0.0000 0.0000 0.0000
Ge2 0.0000 0.3090 0.1442
Ir1 0.2500 0.2500 0.2500
```